{"formula": "NaAc3Ge6", "functional": "PBE-GGA", "state": "relaxed", "lattice_angstrom": [[6.207, 3.583, 3.989], [-6.207, 3.583, 3.989], [0.000, -7.167, 3.989]], "species": ["Na", "Na", "Ac", "Ac", "Ac", "Ac", "Ac", "Ac", "Ge", "Ge", "Ge", "Ge", "Ge", "Ge", "Ge", "Ge", "Ge", "Ge", "Ge", "Ge"], "frac_coords": [[0.000, 0.000, 0.000], [0.500, 0.500, 0.500], [0.190, 0.750, 0.310], [0.250, 0.690, 0.810], [0.310, 0.190, 0.750], [0.690, 0.810, 0.250], [0.750, 0.310, 0.190], [0.810, 0.250, 0.690], [0.013, 0.093, 0.382], [0.093, 0.382, 0.013], [0.118, 0.407, 0.487], [0.382, 0.013, 0.093], [0.407, 0.487, 0.118], [0.487, 0.118, 0.407], [0.513, 0.882, 0.593], [0.593, 0.513, 0.882], [0.618, 0.987, 0.907], [0.882, 0.593, 0.513], [0.907, 0.618, 0.987], [0.987, 0.907, 0.618]], "magnetic_moment_mub_per_fu": 0.0, "dos_at_fermi_per_ev_cell": 6.9, "final_energy_ev_per_cell": -93.433, "ef_ev_per_atom": -0.54}



{"formula": "Tl3RhI", "functional": "PBE-GGA", "state": "relaxed", "lattice_angstrom": [[5.457, 0.000, 0.000], [0.000, 7.975, 0.000], [-1.419, 0.000, 6.713]], "species": ["Tl", "Tl", "Tl", "Tl", "Tl", "Tl", "Rh", "Rh", "I", "I"], "frac_coords": [[0.038, 0.010, 0.227], [0.038, 0.490, 0.227], [0.415, 0.750, 0.580], [0.585, 0.250, 0.420], [0.962, 0.510, 0.773], [0.962, 0.990, 0.773], [0.109, 0.250, 0.524], [0.891, 0.750, 0.476], [0.471, 0.250, 0.884], [0.529, 0.750, 0.116]], "magnetic_moment_mub_per_fu": 0.0, "dos_at_fermi_per_ev_cell": 4.9, "final_energy_ev_per_cell": -32.718, "e_form_raw_mev_per_atom": -72, "polymorph_energy_ev_per_atom": 0.193}



What is the formula in the first record?
NaAc3Ge6